DFT (PBE) results for crystalline HPd2Pb2 at its relaxed geometry.

Cell and atoms, written as POSCAR:
```
HPd2Pb2
1.0
-0.666 0.708 3.372
2.540 -5.766 1.712
7.755 3.134 -0.952
Pd Pb H
4 4 2
Cartesian
5.452 2.520 2.374
4.147 -3.981 3.481
3.310 -2.477 1.174
6.373 0.034 1.251
1.096 -0.645 0.352
3.777 0.095 2.552
6.181 -2.765 1.801
8.110 -0.318 3.495
2.948 -2.615 2.957
6.164 1.866 0.826
```

Output
* energy above the most stable polymorph in this dataset: 0.000 eV/atom